(1)
Below is an optimized crystal structure of LuFe6, with properties calculated at the GGA-PBE level.

Structure (CIF):
```
data_LuFe6
_chemical_formula_sum 'Lu1 Fe6'
_cell_length_a 5.180
_cell_length_b 5.180
_cell_length_c 5.180
_cell_angle_alpha 109.47
_cell_angle_beta 109.47
_cell_angle_gamma 109.47
_symmetry_space_group_name_H-M 'P 1'
_symmetry_Int_Tables_number 1
loop_
_symmetry_equiv_pos_as_xyz
'x,y,z'
loop_
_atom_site_label
_atom_site_fract_x
_atom_site_fract_y
_atom_site_fract_z
Lu1 0.000 0.000 0.000
Fe1 0.250 0.750 0.500
Fe2 0.500 0.750 0.250
Fe3 0.250 0.500 0.750
Fe4 0.750 0.250 0.500
Fe5 0.500 0.250 0.750
Fe6 0.750 0.500 0.250
```

Summary:
The value obtained for the total energy is -51.0 eV for the cell shown. Its formation energy is 607 meV/atom.


(2)
Below is an optimized crystal structure of TbGd2Ga, with properties calculated at the GGA-PBE level.

Structure (CIF):
```
data_TbGd2Ga
_chemical_formula_sum 'Tb1 Gd2 Ga1'
_cell_length_a 3.495
_cell_length_b 3.495
_cell_length_c 11.939
_cell_angle_alpha 81.58
_cell_angle_beta 81.58
_cell_angle_gamma 60.00
_symmetry_space_group_name_H-M 'P 1'
_symmetry_Int_Tables_number 1
loop_
_symmetry_equiv_pos_as_xyz
'x,y,z'
loop_
_atom_site_label
_atom_site_fract_x
_atom_site_fract_y
_atom_site_fract_z
Gd1 0.086 0.086 0.743
Gd2 0.914 0.914 0.257
Tb1 0.500 0.500 0.500
Ga1 0.000 0.000 0.000
```

Summary:
The value obtained for the total energy is -35.2 eV for the cell shown. Its formation energy is 148 meV/atom.


(3)
Below is an optimized crystal structure of RbAgB2F8, with properties calculated at the GGA-PBE level.

Structure (CIF):
```
data_RbAgB2F8
_chemical_formula_sum 'Rb1 Ag1 B2 F8'
_cell_length_a 5.217
_cell_length_b 5.217
_cell_length_c 8.406
_cell_angle_alpha 71.92
_cell_angle_beta 71.92
_cell_angle_gamma 60.00
_symmetry_space_group_name_H-M 'P 1'
_symmetry_Int_Tables_number 1
loop_
_symmetry_equiv_pos_as_xyz
'x,y,z'
loop_
_atom_site_label
_atom_site_fract_x
_atom_site_fract_y
_atom_site_fract_z
Rb1 0.500 0.500 0.500
Ag1 0.000 0.000 0.000
B1 0.250 0.250 0.249
B2 0.750 0.750 0.751
F1 0.190 0.190 0.430
F2 0.514 0.295 0.190
F3 0.810 0.810 0.570
F4 0.001 0.514 0.190
F5 0.999 0.486 0.810
F6 0.295 0.001 0.190
F7 0.705 0.999 0.810
F8 0.486 0.705 0.810
```

Summary:
The value obtained for the total energy is -64.1 eV for the cell shown. The formation energy (no corrections) is -2659 meV/atom.


(4)
Below is an optimized crystal structure of KSr4Al, with properties calculated at the GGA-PBE level.

Structure (CIF):
```
data_KSr4Al
_chemical_formula_sum 'K1 Sr4 Al1'
_cell_length_a 7.645
_cell_length_b 7.645
_cell_length_c 7.645
_cell_angle_alpha 60.00
_cell_angle_beta 60.00
_cell_angle_gamma 60.00
_symmetry_space_group_name_H-M 'P 1'
_symmetry_Int_Tables_number 1
loop_
_symmetry_equiv_pos_as_xyz
'x,y,z'
loop_
_atom_site_label
_atom_site_fract_x
_atom_site_fract_y
_atom_site_fract_z
K1 0.000 0.000 0.000
Sr1 0.872 0.376 0.376
Sr2 0.376 0.376 0.872
Sr3 0.376 0.872 0.376
Sr4 0.376 0.376 0.376
Al1 0.750 0.750 0.750
```

Summary:
The value obtained for the total energy is -8.9 eV for the cell shown. Its formation energy is 442 meV/atom.


(5)
Below is an optimized crystal structure of TbPm2PrTh, with properties calculated at the GGA-PBE level.

Structure (CIF):
```
data_TbPm2PrTh
_chemical_formula_sum 'Tb2 Pm4 Pr2 Th2'
_cell_length_a 8.469
_cell_length_b 6.450
_cell_length_c 6.610
_cell_angle_alpha 76.57
_cell_angle_beta 90.00
_cell_angle_gamma 90.00
_symmetry_space_group_name_H-M 'P 1'
_symmetry_Int_Tables_number 1
loop_
_symmetry_equiv_pos_as_xyz
'x,y,z'
loop_
_atom_site_label
_atom_site_fract_x
_atom_site_fract_y
_atom_site_fract_z
Tb1 0.661 0.000 0.250
Tb2 0.339 0.000 0.750
Pm1 0.671 0.719 0.836
Pm2 0.671 0.281 0.664
Pm3 0.329 0.719 0.336
Pm4 0.329 0.281 0.164
Pr1 0.097 0.500 0.750
Pr2 0.903 0.500 0.250
Th1 0.000 0.000 0.000
Th2 0.000 0.000 0.500
```

Summary:
The value obtained for the total energy is -50.2 eV for the cell shown. Its formation energy is 251 meV/atom.


(6)
Below is an optimized crystal structure of Re3PdO, with properties calculated at the GGA-PBE level.

Structure (CIF):
```
data_Re3PdO
_chemical_formula_sum 'Re3 Pd1 O1'
_cell_length_a 4.080
_cell_length_b 4.080
_cell_length_c 4.080
_cell_angle_alpha 90.00
_cell_angle_beta 90.00
_cell_angle_gamma 90.00
_symmetry_space_group_name_H-M 'P 1'
_symmetry_Int_Tables_number 1
loop_
_symmetry_equiv_pos_as_xyz
'x,y,z'
loop_
_atom_site_label
_atom_site_fract_x
_atom_site_fract_y
_atom_site_fract_z
Re1 0.000 0.500 0.000
Re2 0.000 0.000 0.500
Re3 0.500 0.000 0.000
O1 0.000 0.000 0.000
Pd1 0.500 0.500 0.500
```

Summary:
The value obtained for the total energy is -45.4 eV for the cell shown. The formation energy (no corrections) is 412 meV/atom.


(7)
Below is an optimized crystal structure of NdCd11Cu, with properties calculated at the GGA-PBE level.

Structure (CIF):
```
data_NdCd11Cu
_chemical_formula_sum 'Nd1 Cd11 Cu1'
_cell_length_a 5.843
_cell_length_b 7.573
_cell_length_c 7.615
_cell_angle_alpha 81.73
_cell_angle_beta 67.44
_cell_angle_gamma 67.97
_symmetry_space_group_name_H-M 'P 1'
_symmetry_Int_Tables_number 1
loop_
_symmetry_equiv_pos_as_xyz
'x,y,z'
loop_
_atom_site_label
_atom_site_fract_x
_atom_site_fract_y
_atom_site_fract_z
Nd1 0.000 0.000 0.000
Cd1 0.300 0.219 0.209
Cd2 0.700 0.781 0.791
Cd3 0.491 0.781 0.209
Cd4 0.509 0.219 0.791
Cd5 0.360 0.643 0.658
Cd6 0.640 0.357 0.342
Cd7 0.982 0.357 0.658
Cd8 0.018 0.643 0.342
Cd9 0.000 0.500 0.000
Cd10 0.500 0.000 0.500
Cd11 0.000 0.000 0.500
Cu1 0.500 0.500 0.000
```

Summary:
The value obtained for the total energy is -20.3 eV for the cell shown. Its formation energy is -107 meV/atom.


(8)
Below is an optimized crystal structure of Na4LiPd3O8, with properties calculated at the GGA-PBE level.

Structure (CIF):
```
data_Na4LiPd3O8
_chemical_formula_sum 'Na4 Li1 Pd3 O8'
_cell_length_a 6.195
_cell_length_b 6.381
_cell_length_c 6.371
_cell_angle_alpha 119.44
_cell_angle_beta 119.09
_cell_angle_gamma 90.00
_symmetry_space_group_name_H-M 'P 1'
_symmetry_Int_Tables_number 1
loop_
_symmetry_equiv_pos_as_xyz
'x,y,z'
loop_
_atom_site_label
_atom_site_fract_x
_atom_site_fract_y
_atom_site_fract_z
Na1 0.500 0.000 0.000
Na2 0.500 0.000 0.500
Na3 0.000 0.000 0.000
Na4 0.000 0.000 0.500
Li1 0.000 0.500 0.000
Pd1 0.500 0.500 0.000
Pd2 0.500 0.500 0.500
Pd3 0.000 0.500 0.500
O1 0.233 0.695 0.949
O2 0.245 0.710 0.490
O3 0.248 0.287 0.496
O4 0.716 0.695 0.949
O5 0.284 0.305 0.051
O6 0.752 0.713 0.504
O7 0.755 0.290 0.510
O8 0.767 0.305 0.051
```

Summary:
The value obtained for the total energy is -79.1 eV for the cell shown. The formation energy (no corrections) is -1041 meV/atom.